Record 1
Entry from the Alexandria database: a relaxed Li15Mg6Au crystal (PBE).

abc: 5.4742 10.2564 10.4715
angles: 121.05 104.17 104.06
Closest atoms and distances in Å follow each position.
Positions (direct):
Li: 0.8868 0.8859 0.2249  3 Li 2.66-2.84, 1 Au 2.74, 1 Mg 2.88
Li: 0.7825 0.3676 0.9611  6 Li 2.72-2.89, 1 Mg 2.94
Li: 0.4290 0.6540 0.5481  3 Li 2.73-2.87, 3 Mg 2.96-3.06
Li: 0.3192 0.4681 0.1755  5 Li 2.77-2.98, 1 Mg 2.91
Li: 0.2520 0.2159 0.5277  4 Li 2.63-2.89
Li: 0.6357 0.4151 0.4205  3 Li 2.64-2.82, 2 Mg 2.91-2.95
Li: 0.7626 0.5752 0.7816  1 Au 2.65, 3 Li 2.93-2.95
Li: 0.1683 0.7106 0.1113  4 Li 2.66-2.93, 1 Mg 2.90, 1 Au 2.96
Li: 0.9106 0.5638 0.3010  7 Li 2.81-3.02
Li: 0.2128 0.1437 0.7516  6 Li 2.79-3.02, 3 Mg 2.89-3.01
Li: 0.7126 0.8372 0.4285  2 Li 2.62-2.75
Li: 0.7986 0.2352 0.6630  5 Li 2.72-2.93, 1 Mg 2.92
Li: 0.3147 0.9142 0.4960  4 Li 2.62-2.91
Li: 0.4187 0.5151 0.9406  7 Li 2.81-3.12, 1 Mg 3.08
Li: 0.1178 0.4696 0.6177  5 Li 2.63-2.94
Mg: 0.7509 0.0294 0.8316  4 Li 2.94-3.11, 1 Au 2.99, 3 Mg 3.15-3.19
Mg: 0.4718 0.8221 0.9431  2 Au 2.79-2.86, 3 Li 2.88-3.08, 1 Mg 3.00
Mg: 0.0169 0.2207 0.2355  1 Au 2.88, 3 Li 2.95-3.11, 2 Mg 3.08-3.22
Mg: 0.5241 0.0717 0.3071  1 Au 2.89, 6 Li 2.90-3.19, 2 Mg 3.20-3.22
Mg: 0.4322 0.1725 0.0501  1 Au 2.74, 3 Li 2.89-3.01
Mg: 0.0493 0.8022 0.6808  9 Li 2.96-3.26, 1 Au 2.99, 3 Mg 3.00-3.28
Au: 0.0326 0.9103 0.0029  3 Li 2.65-2.96, 5 Mg 2.74-2.89

Calculated values
* formation energy from the elements: -0.071 eV/atom
* density: 1.696 Mg/m³

---

Record 2
Entry from the Alexandria database: a relaxed Rb2GaOsBr6 crystal (PBE).

abc: 7.7539 7.7539 7.7522
angles: 59.99 59.99 90.00
Closest atoms and distances in Å follow each position.
Positions (direct):
Ga: 0.5000 0.5000 0.0000  6 Br 2.94-2.95
Os: 0.0000 0.0000 0.0000  6 Br 2.54
Br: 0.2315 0.2315 0.5371  1 Os 2.54
Br: 0.7685 0.7685 0.4629  1 Os 2.54
Br: 0.2313 0.2313 0.0000  1 Os 2.54
Br: 0.7687 0.7687 0.0000  1 Os 2.54
Br: 0.7687 0.2313 0.0000  1 Os 2.54
Br: 0.2313 0.7687 0.0000  1 Os 2.54
Rb: 0.7500 0.2500 0.5000  12 Br 3.88
Rb: 0.2500 0.7500 0.5000  12 Br 3.88

Calculated values
* formation energy without anion corrections: -0.79 eV per atom
* density: 4.588 Mg/m³

---

Record 3
Entry from the Alexandria database: a relaxed SrSc2Zn crystal (PBE).

abc: 5.6681 5.6681 6.1020
angles: 76.52 76.52 36.35
Closest atoms and distances in Å follow each position.
Positions (direct):
Sc: 0.9837 0.9837 0.9919  2 Zn 2.95, 3 Sc 3.08-3.13
Sc: 0.7299 0.7299 0.8459  2 Zn 2.86, 3 Sc 3.08-3.13
Sr: 0.5202 0.5202 0.4698  3 Zn 3.29-3.55, 5 Sc 3.51-3.59, 2 Sr 3.54
Zn: 0.2662 0.2662 0.1924  4 Sc 2.86-2.95

Calculated values
* formation energy from the elements: 0.167 eV/atom
* density: 3.582 Mg/m³

---

Record 4
Entry from the Alexandria database: a relaxed U3P2S crystal (PBE).

abc: 3.9259 3.9259 9.4789
angles: 90.00 90.00 120.00
Closest atoms and distances in Å follow each position.
Positions (direct):
U: 0.0000 0.0000 0.5000  6 P 2.77
U: 0.3333 0.6667 0.1646  3 S 2.75, 3 P 2.76
U: 0.6667 0.3333 0.8354  3 S 2.75, 3 P 2.76
P: 0.3333 0.6667 0.6686  6 U 2.76-2.77
P: 0.6667 0.3333 0.3314  6 U 2.76-2.77
S: 0.0000 0.0000 0.0000  6 U 2.75

Calculated values
* relative energy among the computed polymorphs: 4 meV/atom
* formation energy without anion corrections: -1.11 eV per atom
* density: 10.606 Mg/m³